This record from Alexandria via LeMat-Bulk describes a relaxed ScBeSe2 crystal. The functional is PBE-GGA.

Unit cell a=5.934 b=5.934 c=6.521 alpha=62.93 beta=62.93 gamma=90.00
Each line ends with the local moment (μB).
Positions (direct):
Sc  0.000  0.000  0.000  0.53
Sc  0.750  0.250  0.500  0.52
Be  0.500  0.500  0.000  0.01
Be  0.250  0.750  0.500  0.01
Se  0.565  0.125  0.250  -0.01
Se  0.185  0.625  0.250  -0.01
Se  0.375  0.435  0.750  -0.01
Se  0.875  0.815  0.750  -0.01

Properties
space-group type = No. 122

This record from Alexandria via LeMat-Bulk describes a relaxed ScBeSe2 crystal. The functional is PBE-GGA.

Unit cell a=3.716 b=3.716 c=5.536 alpha=90.00 beta=90.00 gamma=90.00
Positions (direct):
Sc  0.500  0.500  0.849
Be  0.000  0.000  0.443
Se  0.000  0.000  0.852
Se  0.500  0.500  0.356

Properties
space-group type = No. 99

This record from Alexandria via LeMat-Bulk describes a relaxed ScBeSe3 crystal. The functional is PBE-GGA.

Unit cell a=4.619 b=4.619 c=4.619 alpha=90.00 beta=90.00 gamma=90.00
Positions (direct):
Sc  0.500  0.500  0.500
Be  0.000  0.000  0.000
Se  0.000  0.500  0.000
Se  0.000  0.000  0.500
Se  0.500  0.000  0.000

Properties
space-group type = No. 221
ΔE to the lowest computed polymorph = 0 meV per atom

This record from Alexandria via LeMat-Bulk describes a relaxed ScBe3Se crystal. The functional is PBE-GGA.

Unit cell a=4.336 b=4.336 c=4.336 alpha=90.00 beta=90.00 gamma=90.00
Positions (direct):
Sc  0.500  0.500  0.500
Be  0.000  0.500  0.000
Be  0.000  0.000  0.500
Be  0.500  0.000  0.000
Se  0.000  0.000  0.000

Properties
space-group type = No. 221
ΔE to the lowest computed polymorph = 0 meV per atom

This record from Alexandria via LeMat-Bulk describes a relaxed ScBeSe crystal. The functional is PBE-GGA.

Unit cell a=3.969 b=3.969 c=3.523 alpha=90.00 beta=90.00 gamma=120.00
Positions (direct):
Sc  0.333  0.667  0.333
Be  0.000  0.000  0.833
Se  0.667  0.333  0.834

Properties
space-group type = No. 187
ΔE to the lowest computed polymorph = 0 meV per atom

This record from Alexandria via LeMat-Bulk describes a relaxed ScBeSe2 crystal. The functional is PBE-GGA.

Unit cell a=7.723 b=7.723 c=7.723 alpha=27.76 beta=27.76 gamma=27.76
Positions (direct):
Sc  0.757  0.757  0.757
Be  0.513  0.513  0.513
Se  0.026  0.026  0.026
Se  0.204  0.204  0.204

Properties
space-group type = No. 160

This record from Alexandria via LeMat-Bulk describes a relaxed ScBeSe2 crystal. The functional is PBE-GGA.

Unit cell a=4.741 b=4.741 c=4.741 alpha=60.00 beta=60.00 gamma=60.00
Positions (direct):
Sc  0.750  0.750  0.750
Be  0.500  0.500  0.500
Se  0.000  0.000  0.000
Se  0.250  0.250  0.250

Properties
space-group type = No. 216

This record from Alexandria via LeMat-Bulk describes a relaxed ScBeSi2Se crystal. The functional is PBE-GGA.

Unit cell a=4.054 b=5.429 c=4.054 alpha=90.00 beta=90.00 gamma=90.00
Positions (direct):
Sc  0.000  0.500  0.000
Be  0.000  0.000  0.000
Si  0.000  0.000  0.500
Si  0.500  0.000  0.000
Se  0.500  0.500  0.500

Properties
space-group type = No. 123

This record from Alexandria via LeMat-Bulk describes a relaxed Sc2BeTcSe crystal. The functional is PBE-GGA.

Unit cell a=4.793 b=3.930 c=4.793 alpha=90.00 beta=90.00 gamma=90.00
Positions (direct):
Sc  0.000  0.000  0.500
Sc  0.500  0.000  0.000
Be  0.000  0.000  0.000
Tc  0.500  0.500  0.500
Se  0.000  0.500  0.000

Properties
space-group type = No. 123

This record from Alexandria via LeMat-Bulk describes a relaxed ScBeSi2 crystal. The functional is PBE-GGA.

Unit cell a=3.200 b=3.200 c=5.920 alpha=90.00 beta=90.00 gamma=99.86
Positions (direct):
Sc  0.500  0.500  0.750
Be  0.500  0.500  0.250
Si  0.000  0.000  0.049
Si  0.000  0.000  0.451

Properties
space-group type = No. 65

This record from Alexandria via LeMat-Bulk describes a relaxed Sc4BeSi crystal. The functional is PBE-GGA.

Unit cell a=5.594 b=5.594 c=5.594 alpha=60.00 beta=60.00 gamma=60.00
Positions (direct):
Sc  0.375  0.874  0.375
Sc  0.874  0.375  0.375
Sc  0.375  0.375  0.874
Sc  0.375  0.375  0.375
Be  0.000  0.000  0.000
Si  0.750  0.750  0.750

Properties
space-group type = No. 216

This record from Alexandria via LeMat-Bulk describes a relaxed ScBeSi2 crystal. The functional is PBE-GGA.

Unit cell a=6.046 b=4.708 c=2.844 alpha=89.31 beta=62.27 gamma=119.68
Positions (direct):
Sc  0.500  0.500  0.000
Be  0.000  0.500  0.500
Si  0.000  0.000  0.000
Si  0.500  0.000  0.500

Properties
space-group type = No. 2

| no. | formation energy from raw total energies (eV per atom) |
| --- | --- |
| 1 | -0.9135 |
| 2 | -0.8462 |
| 3 | -0.3503 |
| 4 | 0.7431 |
| 5 | -0.4271 |
| 6 | -0.9028 |
| 7 | 0.0760 |
| 8 | 0.0252 |
| 9 | 0.4547 |
| 10 | -0.1028 |
| 11 | 0.5643 |
| 12 | 0.0039 |